A relaxed Li3MnCoO5 crystal, computed with PBE+U.

```
20
Lattice="2.477 -1.432 0.000 2.477 1.432 0.000 -1.610 0.000 24.609" Properties=species:S:1:pos:R:3 pbc="T T T"
Li 0.000 0.000 0.000
Li 0.019 0.000 7.688
Li 0.038 0.000 22.062
Li 1.713 0.000 12.564
Li 3.312 0.000 2.352
Li 3.355 0.000 17.270
Mn 1.645 0.000 5.190
Mn 3.345 0.000 10.079
Co 0.059 0.000 14.867
Co 1.700 0.000 19.575
O -0.037 0.000 4.158
O 0.060 0.000 11.168
O 0.049 0.000 18.536
O 1.656 0.000 1.344
O 1.676 0.000 8.956
O 1.710 0.000 15.878
O 1.691 0.000 23.258
O 3.325 0.000 6.292
O 3.361 0.000 13.831
O 3.352 0.000 20.564
```

Results
- Calculated total energy: -114.50 eV/cell
- Magnetic moment: 2.59 Bohr magnetons per cell